# 1
The following is a PBEsol calculation of Dy3CuSiSe7 after structural relaxation, from Alexandria.

a b c (Å): 5.885 10.186 10.186
angles (deg): 120.00 90.00 90.00
Sites, in units of the cell vectors:
1 Dy 0.263 0.776 0.644
2 Dy 0.763 0.644 0.869
3 Dy 0.763 0.131 0.776
4 Dy 0.263 0.356 0.131
5 Dy 0.763 0.224 0.356
6 Dy 0.263 0.869 0.224
7 Cu 0.799 0.000 0.000
8 Cu 0.299 0.000 0.000
9 Si 0.174 0.333 0.667
10 Si 0.674 0.667 0.333
11 Se 0.057 0.667 0.333
12 Se 0.518 0.579 0.098
13 Se 0.557 0.333 0.667
14 Se 0.784 0.262 0.098
15 Se 0.784 0.836 0.738
16 Se 0.284 0.098 0.836
17 Se 0.284 0.738 0.902
18 Se 0.018 0.421 0.902
19 Se 0.518 0.519 0.421
20 Se 0.018 0.481 0.579
21 Se 0.784 0.902 0.164
22 Se 0.284 0.164 0.262
23 Se 0.518 0.902 0.481
24 Se 0.018 0.098 0.519

- formation energy from raw total energies (eV per atom) = -1.340
- symmetry = P6_3 (173)

# 2
The following is a PBEsol calculation of Dy3Cu4Si4 after structural relaxation, from Alexandria.

a b c (Å): 4.087 6.453 7.761
angles (deg): 114.57 105.26 90.00
Sites, in units of the cell vectors:
1 Dy 0.370 0.870 0.740
2 Dy 0.630 0.130 0.260
3 Dy 0.500 0.500 0.000
4 Cu 0.831 0.522 0.662
5 Cu 0.169 0.860 0.338
6 Cu 0.831 0.140 0.662
7 Cu 0.169 0.478 0.338
8 Si 0.000 0.814 0.000
9 Si 0.000 0.186 0.000
10 Si 0.284 0.284 0.568
11 Si 0.716 0.716 0.432

- formation energy from raw total energies (eV per atom) = -0.696
- symmetry = Immm (71)

# 3
The following is a PBEsol calculation of Dy3Cu4Sn4 after structural relaxation, from Alexandria.

a b c (Å): 4.407 6.828 8.304
angles (deg): 114.28 105.39 90.00
Sites, in units of the cell vectors:
1 Dy 0.000 0.000 0.000
2 Dy 0.869 0.369 0.737
3 Dy 0.131 0.631 0.263
4 Cu 0.329 0.017 0.659
5 Cu 0.671 0.983 0.341
6 Cu 0.329 0.641 0.659
7 Cu 0.671 0.359 0.341
8 Sn 0.216 0.216 0.432
9 Sn 0.500 0.704 0.000
10 Sn 0.500 0.296 0.000
11 Sn 0.784 0.784 0.568

- ΔE_f (eV per formula unit) = -6.067
- symmetry = Immm (71)

# 4
The following is a PBEsol calculation of ErCu2 after structural relaxation, from Alexandria.

a b c (Å): 4.217 5.297 5.297
angles (deg): 76.68 66.54 66.54
Sites, in units of the cell vectors:
1 Er 0.547 0.203 0.703
2 Er 0.453 0.797 0.297
3 Cu 0.165 0.388 0.282
4 Cu 0.835 0.612 0.718
5 Cu 0.835 0.218 0.112
6 Cu 0.165 0.782 0.888

- ΔE_f (eV per formula unit) = -0.821
- symmetry = Imma (74)

# 5
The following is a PBEsol calculation of ErFe4Cu3O12 after structural relaxation, from Alexandria.

a b c (Å): 6.138 6.138 6.138
angles (deg): 109.47 109.47 109.47
Site moments in Bohr magnetons follow the coordinates.
Sites, in units of the cell vectors:
1 Er 0.000 0.000 0.000  0.02
2 Fe 0.000 0.500 0.000  1.45
3 Fe 0.500 0.500 0.500  1.45
4 Fe 0.000 0.000 0.500  1.45
5 Fe 0.500 0.000 0.000  1.45
6 Cu 0.500 0.000 0.500  -0.08
7 Cu 0.000 0.500 0.500  -0.08
8 Cu 0.500 0.500 0.000  -0.08
9 O 0.824 0.524 0.700  0.04
10 O 0.176 0.476 0.300  0.04
11 O 0.176 0.877 0.700  0.04
12 O 0.824 0.123 0.300  0.04
13 O 0.123 0.300 0.824  0.04
14 O 0.877 0.700 0.176  0.04
15 O 0.476 0.300 0.176  0.04
16 O 0.524 0.700 0.824  0.04
17 O 0.300 0.176 0.476  0.04
18 O 0.700 0.824 0.524  0.04
19 O 0.300 0.824 0.123  0.04
20 O 0.700 0.176 0.877  0.04

- formation energy from raw total energies (eV per atom) = -1.389
- symmetry = Im-3 (204)

# 6
The following is a PBEsol calculation of Er2Ga3Cu after structural relaxation, from Alexandria.

a b c (Å): 4.288 4.288 6.994
angles (deg): 90.00 90.00 120.00
Sites, in units of the cell vectors:
1 Er 0.667 0.333 0.268
2 Er 0.667 0.333 0.739
3 Ga 0.333 0.667 0.521
4 Ga 0.333 0.667 0.957
5 Ga 0.000 0.000 0.050
6 Cu 0.000 0.000 0.465

- ΔE_f (eV per formula unit) = -3.817
- symmetry = P3m1 (156)

# 7
The following is a PBEsol calculation of ErGa2Cu3 after structural relaxation, from Alexandria.

a b c (Å): 4.063 5.010 5.010
angles (deg): 118.46 90.00 90.00
Sites, in units of the cell vectors:
1 Er 0.000 0.500 0.500
2 Ga 0.500 0.000 0.500
3 Ga 0.500 0.500 0.000
4 Cu 0.000 0.162 0.838
5 Cu 0.000 0.838 0.162
6 Cu 0.500 0.000 0.000

- ΔE_f (eV per formula unit) = -2.420
- symmetry = Cmmm (65)

# 8
The following is a PBEsol calculation of Er2Ga6Cu11 after structural relaxation, from Alexandria.

a b c (Å): 6.459 6.459 6.459
angles (deg): 83.34 83.34 83.34
Sites, in units of the cell vectors:
1 Er 0.659 0.659 0.659
2 Er 0.341 0.341 0.341
3 Ga 0.858 0.343 0.343
4 Ga 0.343 0.858 0.343
5 Ga 0.343 0.343 0.858
6 Ga 0.142 0.657 0.657
7 Ga 0.657 0.142 0.657
8 Ga 0.657 0.657 0.142
9 Cu 0.901 0.901 0.901
10 Cu 0.099 0.099 0.099
11 Cu 0.000 0.500 0.000
12 Cu 0.000 0.000 0.500
13 Cu 0.500 0.000 0.000
14 Cu 0.296 0.000 0.704
15 Cu 0.704 0.296 0.000
16 Cu 0.000 0.704 0.296
17 Cu 0.296 0.704 0.000
18 Cu 0.000 0.296 0.704
19 Cu 0.704 0.000 0.296

- ΔE_f (eV per formula unit) = -5.334
- symmetry = R-3m (166)

# 9
The following is a PBEsol calculation of Er2CuGe6 after structural relaxation, from Alexandria.

a b c (Å): 3.964 4.008 10.671
angles (deg): 90.00 100.70 90.00
Sites, in units of the cell vectors:
1 Er 0.005 0.000 0.010
2 Er 0.668 0.000 0.336
3 Cu 0.224 0.500 0.448
4 Ge 0.285 0.000 0.571
5 Ge 0.403 0.000 0.806
6 Ge 0.541 0.500 0.083
7 Ge 0.115 0.500 0.230
8 Ge 0.903 0.500 0.807
9 Ge 0.786 0.500 0.571

- ΔE_f (eV per formula unit) = -4.168
- symmetry = Amm2 (38)

# 10
The following is a PBEsol calculation of HoErCu2 after structural relaxation, from Alexandria.

a b c (Å): 4.779 4.779 4.779
angles (deg): 60.00 60.00 60.00
Sites, in units of the cell vectors:
1 Ho 0.000 0.000 0.000
2 Cu 0.750 0.750 0.750
3 Cu 0.250 0.250 0.250
4 Er 0.500 0.500 0.500

- ΔE_f (eV per formula unit) = -1.025
- symmetry = Fm-3m (225)

# 11
The following is a PBEsol calculation of ErInCu2 after structural relaxation, from Alexandria.

a b c (Å): 4.582 4.582 4.582
angles (deg): 60.00 60.00 60.00
Sites, in units of the cell vectors:
1 In 0.500 0.500 0.500
2 Cu 0.250 0.250 0.250
3 Cu 0.750 0.750 0.750
4 Er 0.000 0.000 0.000

- ΔE_f (eV per formula unit) = -1.419
- symmetry = Fm-3m (225)

# 12
The following is a PBEsol calculation of Er2In3Cu after structural relaxation, from Alexandria.

a b c (Å): 4.624 4.624 7.262
angles (deg): 90.00 90.00 120.00
Sites, in units of the cell vectors:
1 Er 0.667 0.333 0.277
2 Er 0.667 0.333 0.737
3 In 0.333 0.667 0.518
4 In 0.333 0.667 0.948
5 In 0.000 0.000 0.067
6 Cu 0.000 0.000 0.454

- ΔE_f (eV per formula unit) = -2.600
- symmetry = P3m1 (156)

# 13
The following is a PBEsol calculation of ErInCu4 after structural relaxation, from Alexandria.

a b c (Å): 5.009 5.009 5.009
angles (deg): 60.00 60.00 60.00
Sites, in units of the cell vectors:
1 In 0.500 0.500 0.500
2 Cu 0.875 0.875 0.376
3 Cu 0.875 0.376 0.875
4 Cu 0.376 0.875 0.875
5 Cu 0.875 0.875 0.875
6 Er 0.250 0.250 0.250

- ΔE_f (eV per formula unit) = -1.879
- symmetry = F-43m (216)

# 14
The following is a PBEsol calculation of Er2CuIr after structural relaxation, from Alexandria.

a b c (Å): 4.746 4.746 4.746
angles (deg): 60.00 60.00 60.00
Sites, in units of the cell vectors:
1 Ir 0.500 0.500 0.500
2 Cu 0.000 0.000 0.000
3 Er 0.750 0.750 0.750
4 Er 0.250 0.250 0.250

- ΔE_f (eV per formula unit) = -2.484
- symmetry = Fm-3m (225)

# 15
The following is a PBEsol calculation of Er2CuNi after structural relaxation, from Alexandria.

a b c (Å): 3.610 4.265 5.275
angles (deg): 90.00 110.01 90.00
Sites, in units of the cell vectors:
1 Ni 0.427 0.000 0.854
2 Cu 0.572 0.500 0.144
3 Er 0.860 0.500 0.721
4 Er 0.140 0.000 0.280

- ΔE_f (eV per formula unit) = -1.513
- symmetry = Amm2 (38)

# 16
The following is a PBEsol calculation of Sr2ErCu3Pb2O8 after structural relaxation, from Alexandria.

a b c (Å): 3.769 3.769 15.649
angles (deg): 90.00 90.00 90.00
Sites, in units of the cell vectors:
1 Sr 0.000 0.000 0.781
2 Sr 0.000 0.000 0.219
3 Er 0.000 0.000 0.000
4 Cu 0.000 0.000 0.500
5 Cu 0.500 0.500 0.898
6 Cu 0.500 0.500 0.102
7 Pb 0.500 0.500 0.388
8 Pb 0.500 0.500 0.612
9 O 0.000 0.500 0.910
10 O 0.500 0.000 0.090
11 O 0.000 0.500 0.090
12 O 0.500 0.000 0.910
13 O 0.000 0.000 0.383
14 O 0.500 0.500 0.751
15 O 0.500 0.500 0.249
16 O 0.000 0.000 0.617

- formation energy from raw total energies (eV per atom) = -1.756
- symmetry = P4/mmm (123)

# 17
The following is a PBEsol calculation of Er2CuOs after structural relaxation, from Alexandria.

a b c (Å): 4.728 4.728 4.728
angles (deg): 60.00 60.00 60.00
Sites, in units of the cell vectors:
1 Os 0.000 0.000 0.000
2 Cu 0.500 0.500 0.500
3 Er 0.250 0.250 0.250
4 Er 0.750 0.750 0.750

- ΔE_f (eV per formula unit) = -1.180
- symmetry = Fm-3m (225)

# 18
The following is a PBEsol calculation of Er5CuPb3 after structural relaxation, from Alexandria.

a b c (Å): 6.493 8.983 8.983
angles (deg): 120.00 90.00 90.00
Sites, in units of the cell vectors:
1 Er 0.250 0.000 0.747
2 Er 0.750 0.000 0.253
3 Er 0.250 0.747 0.000
4 Er 0.750 0.253 0.000
5 Er 0.250 0.253 0.253
6 Er 0.750 0.747 0.747
7 Er 0.500 0.333 0.667
8 Er 0.500 0.667 0.333
9 Er 0.000 0.667 0.333
10 Er 0.000 0.333 0.667
11 Cu 0.500 0.000 0.000
12 Cu 0.000 0.000 0.000
13 Pb 0.250 0.000 0.390
14 Pb 0.750 0.000 0.610
15 Pb 0.250 0.390 0.000
16 Pb 0.750 0.610 0.000
17 Pb 0.250 0.610 0.610
18 Pb 0.750 0.390 0.390

- ΔE_f (eV per formula unit) = -4.640
- symmetry = P6_3/mcm (193)

# 19
The following is a PBEsol calculation of RbEr2Cu3S5 after structural relaxation, from Alexandria.

a b c (Å): 3.863 7.097 16.105
angles (deg): 90.00 90.00 105.79
Sites, in units of the cell vectors:
1 Rb 0.435 0.870 0.750
2 Rb 0.565 0.130 0.250
3 Er 0.693 0.385 0.907
4 Er 0.307 0.615 0.093
5 Er 0.693 0.385 0.593
6 Er 0.307 0.615 0.407
7 Cu 0.915 0.831 0.535
8 Cu 0.085 0.169 0.465
9 Cu 0.085 0.169 0.035
10 Cu 0.154 0.308 0.750
11 Cu 0.846 0.692 0.250
12 Cu 0.915 0.831 0.965
13 S 0.333 0.666 0.930
14 S 0.667 0.334 0.070
15 S 0.667 0.334 0.430
16 S 0.333 0.666 0.570
17 S 0.260 0.519 0.250
18 S 0.740 0.481 0.750
19 S 0.939 0.879 0.386
20 S 0.939 0.879 0.114
21 S 0.061 0.121 0.614
22 S 0.061 0.121 0.886

- formation energy from raw total energies (eV per atom) = -1.290
- symmetry = Cmcm (63)

# 20
The following is a PBEsol calculation of Er3CuSiS7 after structural relaxation, from Alexandria.

a b c (Å): 5.571 9.677 9.677
angles (deg): 120.00 90.00 90.00
Sites, in units of the cell vectors:
1 Er 0.759 0.643 0.871
2 Er 0.259 0.871 0.228
3 Er 0.259 0.357 0.129
4 Er 0.259 0.772 0.643
5 Er 0.759 0.129 0.772
6 Er 0.759 0.228 0.357
7 Cu 0.298 0.000 0.000
8 Cu 0.798 0.000 0.000
9 Si 0.671 0.667 0.333
10 Si 0.171 0.333 0.667
11 S 0.019 0.479 0.582
12 S 0.781 0.835 0.740
13 S 0.019 0.102 0.521
14 S 0.019 0.418 0.898
15 S 0.519 0.521 0.418
16 S 0.281 0.165 0.260
17 S 0.781 0.260 0.096
18 S 0.519 0.898 0.479
19 S 0.781 0.904 0.165
20 S 0.281 0.096 0.835
21 S 0.281 0.740 0.904
22 S 0.519 0.582 0.102
23 S 0.048 0.667 0.333
24 S 0.548 0.333 0.667

- formation energy from raw total energies (eV per atom) = -1.575
- symmetry = P6_3 (173)

# 21
The following is a PBEsol calculation of Er3Cu3Sb4 after structural relaxation, from Alexandria.

a b c (Å): 8.130 8.130 8.130
angles (deg): 109.47 109.47 109.47
Sites, in units of the cell vectors:
1 Er 0.125 0.250 0.375
2 Er 0.375 0.750 0.125
3 Er 0.750 0.625 0.875
4 Er 0.250 0.875 0.625
5 Er 0.875 0.125 0.750
6 Er 0.625 0.375 0.250
7 Cu 0.625 0.250 0.875
8 Cu 0.875 0.750 0.625
9 Cu 0.750 0.125 0.375
10 Cu 0.250 0.375 0.125
11 Cu 0.375 0.625 0.750
12 Cu 0.125 0.875 0.250
13 Sb 0.337 0.337 0.837
14 Sb 0.500 0.163 0.500
15 Sb 0.000 0.500 0.663
16 Sb 0.163 0.000 0.000
17 Sb 0.500 0.663 0.500
18 Sb 0.837 0.837 0.337
19 Sb 0.000 0.500 0.163
20 Sb 0.663 0.000 0.000

- formation energy from raw total energies (eV per atom) = -0.745
- symmetry = I-43d (220)

Calculated density, respectively: 7.11; 7.96; 9.27; 9.85; 7.21; 9.05; 9.21; 9.12; 8.31; 9.88; 9.99; 9.17; 10.02; 12.96; 9.94; 8.03; 13.07; 11.14; 6.03; 6.01; 9.47 g/cm³.
Total magnetization, respectively: 0.00; 0.00; 0.00; 0.00; 6.28; 0.00; 0.00; 0.00; 0.00; 0.00; 0.00; 0.00; 0.00; 0.00; 0.00; 0.00; 0.00; 0.00; 0.00; 0.00; 0.00 Bohr magnetons per cell.